# 1
Here is crystalline Sm2DyErSb4 at its relaxed geometry from Alexandria. Energies are from PBE.

Cell: 7.653 4.423 7.657 Å, 90.00 109.48 90.00°
Fractional positions:
Sm  0.000  0.000  0.000
Sm  0.000  0.500  0.500
Dy  0.500  0.000  0.500
Er  0.500  0.500  0.000
Sb  0.256  0.500  0.251
Sb  0.257  0.000  0.753
Sb  0.743  0.000  0.247
Sb  0.744  0.500  0.749

Properties
SG: P2/m
Mass density: 7.59 g cm⁻³

---

# 2
Here is crystalline TbDy2Er3Sb6 at its relaxed geometry from Alexandria. Energies are from PBE.

Cell: 9.769 9.769 8.740 Å, 102.86 102.86 25.84°
Fractional positions:
Tb  0.000  0.000  0.000
Dy  0.333  0.333  0.667
Dy  0.667  0.667  0.333
Er  0.000  0.000  0.500
Er  0.333  0.333  0.167
Er  0.667  0.667  0.833
Sb  0.166  0.166  0.584
Sb  0.168  0.168  0.082
Sb  0.500  0.500  0.252
Sb  0.500  0.500  0.748
Sb  0.832  0.832  0.918
Sb  0.834  0.834  0.416

Properties
SG: C2/m
Mass density: 8.05 g cm⁻³

---

# 3
Here is crystalline Tb3DyEr2Sb6 at its relaxed geometry from Alexandria. Energies are from PBE.

Cell: 9.795 9.795 8.762 Å, 102.86 102.86 25.85°
Fractional positions:
Tb  0.000  0.000  0.000
Tb  0.334  0.334  0.667
Tb  0.666  0.666  0.333
Dy  0.000  0.000  0.500
Er  0.333  0.333  0.167
Er  0.667  0.667  0.833
Sb  0.167  0.167  0.081
Sb  0.167  0.167  0.585
Sb  0.499  0.499  0.250
Sb  0.501  0.501  0.750
Sb  0.833  0.833  0.415
Sb  0.833  0.833  0.919

Properties
SG: C2/m
Mass density: 7.93 g cm⁻³

---

# 4
Here is crystalline Tb2DyErSb4 at its relaxed geometry from Alexandria. Energies are from PBE.

Cell: 7.593 4.387 7.594 Å, 90.00 109.47 90.00°
Fractional positions:
Tb  0.000  0.000  0.000
Tb  0.000  0.500  0.500
Dy  0.500  0.000  0.500
Er  0.500  0.500  0.000
Sb  0.252  0.500  0.250
Sb  0.253  0.000  0.752
Sb  0.747  0.000  0.248
Sb  0.748  0.500  0.750

Properties
SG: P2/m
Mass density: 7.90 g cm⁻³

---

What are the N(E_F) values for these records? In order: 1.1; 1.9; 1.9; 1.1 states/eV/cell.
What are the energy relative to the elements, uncorrected values for these records? In order: -1.1433; -1.1160; -1.1276; -1.1305 eV per atom.